First-principles (SCAN) data for CaTaTiAu2 at its PBEsol-relaxed geometry, as listed in Alexandria.

Cell lengths 5.144, 5.144, 4.587 Å; angles 90.00, 90.00, 90.00 degrees
Space group P4/mmm (No. 123)
One atom of each set of equivalent atoms:
Ca  0.000  0.000  0.000
Ta  0.500  0.500  0.500
Ti  0.500  0.500  0.000
Au  0.000  0.500  0.500

## Properties
Total DFT energy (no corrections): -45.88 eV/atom
Total magnetic moment: 0.00 μB/atom